(1)
Compound: Nd6C3Cl2
Source: the Alexandria database
Functional: PBE-GGA
Structure: optimized geometry

Output
ρ ... 6.2 g/cm3
SG ... C2/m (12)
VASP energy ... -68.2 eV for the cell shown
E_form (uncorrected) ... -8.27 eV per formula unit

Cell lengths 6.5830, 6.5813, 7.2383 Å; angles 81.25, 72.29, 59.99 degrees
Sites, in units of the cell vectors:
Nd: 0.4001 0.6677 0.7999
Nd: 0.7327 0.0000 0.7997
Nd: 0.0678 0.3323 0.7999
Nd: 0.2673 0.0000 0.2003
Nd: 0.5999 0.3323 0.2001
Nd: 0.9322 0.6677 0.2001
C: 0.0000 0.0000 0.0000
C: 0.3314 0.3373 0.0000
C: 0.6686 0.6627 0.0000
Cl: 0.1665 0.6670 0.5000
Cl: 0.8335 0.3330 0.5000

---

(2)
Compound: Nd3CCl2
Source: the Alexandria database
Functional: PBE-GGA
Structure: optimized geometry

Output
ρ ... 6.2 g/cm3
SG ... Immm (71)
VASP energy ... -33.8 eV for the cell shown
E_form (uncorrected) ... -6.61 eV per formula unit

Cell lengths 3.7462, 5.5802, 7.4232 Å; angles 112.08, 104.62, 90.00 degrees
Sites, in units of the cell vectors:
Nd: 0.8739 0.3739 0.2477
Nd: 0.1261 0.6261 0.7523
Nd: 0.5000 0.0000 0.5000
C: 0.5000 0.5000 0.5000
Cl: 0.8233 0.8233 0.1465
Cl: 0.1767 0.1767 0.8535

---

(3)
Compound: Nd7CCl12
Source: the Alexandria database
Functional: PBE-GGA
Structure: optimized geometry

Output
ρ ... 4.1 g/cm3
SG ... R-3 (148)
VASP energy ... -103.0 eV for the cell shown
E_form (uncorrected) ... -38.19 eV per formula unit

Cell lengths 8.9078, 8.9078, 8.9078 Å; angles 107.37, 107.37, 107.37 degrees
Sites, in units of the cell vectors:
Nd: 0.9704 0.6859 0.8919
Nd: 0.3141 0.1081 0.0296
Nd: 0.1081 0.0296 0.3141
Nd: 0.5000 0.5000 0.5000
Nd: 0.8919 0.9704 0.6859
Nd: 0.6859 0.8919 0.9704
Nd: 0.0296 0.3141 0.1081
C: 0.0000 0.0000 0.0000
Cl: 0.9223 0.3124 0.7766
Cl: 0.6876 0.2234 0.0777
Cl: 0.4688 0.1576 0.3835
Cl: 0.8424 0.6165 0.5312
Cl: 0.2234 0.0777 0.6876
Cl: 0.6165 0.5312 0.8424
Cl: 0.3835 0.4688 0.1576
Cl: 0.7766 0.9223 0.3124
Cl: 0.1576 0.3835 0.4688
Cl: 0.5312 0.8424 0.6165
Cl: 0.3124 0.7766 0.9223
Cl: 0.0777 0.6876 0.2234

---

(4)
Compound: Nd4C2Cl3
Source: the Alexandria database
Functional: PBE-GGA
Structure: optimized geometry

Output
ρ ... 5.3 g/cm3
SG ... C2/m (12)
VASP energy ... -54.0 eV for the cell shown
E_form (uncorrected) ... -10.95 eV per formula unit
Energy above the most stable polymorph in this dataset ... 0.000 eV/f.u.

Cell lengths 3.8459, 3.8459, 17.2051 Å; angles 90.05, 89.95, 120.00 degrees
Sites, in units of the cell vectors:
Nd: 0.3337 0.6663 0.8725
Nd: 0.9992 0.0008 0.2905
Nd: 0.0008 0.9992 0.7095
Nd: 0.6663 0.3337 0.1275
C: 0.6672 0.3328 0.7975
C: 0.3328 0.6672 0.2025
Cl: 0.6656 0.3344 0.3950
Cl: 0.0000 0.0000 0.0000
Cl: 0.3344 0.6656 0.6050

---

(5)
Compound: Nd3C2Cl2
Source: the Alexandria database
Functional: PBE-GGA
Structure: optimized geometry

Output
ρ ... 5.2 g/cm3
SG ... P-1 (2)
VASP energy ... -42.1 eV for the cell shown
E_form (uncorrected) ... -5.63 eV per formula unit

Cell lengths 3.7043, 6.4070, 7.4856 Å; angles 100.90, 91.02, 103.32 degrees
Sites, in units of the cell vectors:
Nd: 0.0000 0.0000 0.0000
Nd: 0.7850 0.5564 0.2173
Nd: 0.2150 0.4436 0.7827
C: 0.6403 0.2741 0.9375
C: 0.3597 0.7259 0.0625
Cl: 0.8444 0.7419 0.6291
Cl: 0.1556 0.2581 0.3709

---

(6)
Compound: Nd8NiC3Cl4
Source: the Alexandria database
Functional: PBE-GGA
Structure: optimized geometry

Output
ρ ... 6.3 g/cm3
SG ... R-3m (166)
VASP energy ... -93.9 eV for the cell shown
E_form (uncorrected) ... -14.92 eV per formula unit

Cell lengths 7.7318, 8.3851, 7.7333 Å; angles 117.48, 119.99, 90.00 degrees
Sites, in units of the cell vectors:
Nd: 0.2416 0.6997 0.9583
Nd: 0.2416 0.6997 0.4832
Nd: 0.2690 0.3072 0.5380
Nd: 0.7167 0.6997 0.9583
Nd: 0.2833 0.3003 0.0417
Nd: 0.7310 0.6928 0.4620
Nd: 0.7584 0.3003 0.5168
Nd: 0.7584 0.3003 0.0417
Ni: 0.0000 0.5000 0.0000
C: 0.5000 0.5000 0.0000
C: 0.5000 0.5000 0.5000
C: 0.0000 0.5000 0.5000
Cl: 0.5000 0.0000 0.0000
Cl: 0.5000 0.0000 0.5000
Cl: 0.0000 0.0000 0.0000
Cl: 0.0000 0.0000 0.5000

---

- Look up the VASP energy of the fourth one.
  -54.0 eV for the cell shown

---

- Which value of VASP energy does entry 5 give?
  -42.1 eV for the cell shown